Record 1
## Sm3Hg3Au2 (PBE-GGA)

Data for a geometry-optimized Sm3Hg3Au2 structure.

Lattice parameters (Å, degrees): 7.8131 7.8131 3.8615 90.00 90.00 120.00
Last column: nearest neighbours and their distance in Å.
Sites, in units of the cell vectors:
Sm 0.0000 0.4082 0.0000  4 Au 3.05, 6 Hg 3.38-3.42
Sm 0.4082 0.0000 0.0000  4 Au 3.05, 6 Hg 3.38-3.42
Sm 0.5918 0.5918 0.0000  4 Au 3.05, 6 Hg 3.38-3.42
Hg 0.0000 0.7690 0.5000  2 Au 3.08, 2 Hg 3.13, 6 Sm 3.38-3.42
Hg 0.2310 0.2310 0.5000  2 Au 3.08, 2 Hg 3.13, 6 Sm 3.38-3.42
Hg 0.7690 0.0000 0.5000  2 Au 3.08, 2 Hg 3.13, 6 Sm 3.38-3.42
Au 0.3333 0.6667 0.5000  6 Sm 3.05, 3 Hg 3.08
Au 0.6667 0.3333 0.5000  6 Sm 3.05, 3 Hg 3.08

Calculated values
- energy relative to the lowest polymorph listed for this composition (meV per atom) = 0
- ΔH_f (0 K) (kJ/mol of formula units) = -470.4
- E_tot (eV per atom) = -3.3116
- space group = P-62m, No. 189

***

Record 2
## NaTe2S4 (PBE-GGA)

Data for a geometry-optimized NaTe2S4 structure.

Lattice parameters (Å, degrees): 9.1950 9.1950 8.8665 90.00 90.00 131.91
Last column: nearest neighbours and their distance in Å.
Sites, in units of the cell vectors:
Na 0.0000 0.0000 0.2500  4 S 2.78
Na 0.0000 0.0000 0.7500  4 S 2.78
Te 0.2310 0.7668 0.0000  3 S 2.31-2.55
Te 0.2332 0.7690 0.5000  3 S 2.31-2.55
Te 0.7668 0.2310 0.5000  3 S 2.31-2.55
Te 0.7690 0.2332 0.0000  3 S 2.31-2.55
S 0.0000 0.5000 0.1932  2 Te 2.55
S 0.0000 0.5000 0.8068  2 Te 2.55
S 0.0389 0.8450 0.5000  1 Te 2.31
S 0.1550 0.9611 0.0000  1 Te 2.31
S 0.5000 0.0000 0.3068  2 Te 2.55
S 0.5000 0.0000 0.6932  2 Te 2.55
S 0.8450 0.0389 0.0000  1 Te 2.31
S 0.9611 0.1550 0.5000  1 Te 2.31

Calculated values
- energy relative to the lowest polymorph listed for this composition (meV per atom) = 84
- E_tot (eV per atom) = -3.5693
- space group = Cccm, No. 66
- energy relative to the elements, uncorrected (eV per atom) = -0.125

***

Record 3
## LaRhNF2 (PBE-GGA)

Data for a geometry-optimized LaRhNF2 structure.

Lattice parameters (Å, degrees): 4.3124 4.3124 3.9474 90.00 90.00 90.00
Last column: nearest neighbours and their distance in Å.
Sites, in units of the cell vectors:
La 0.0000 0.0000 0.0000  8 F 2.92, 4 N 3.05
Rh 0.5000 0.5000 0.5000  2 N 1.97, 4 F 2.16
N 0.5000 0.5000 0.0000  2 Rh 1.97
F 0.0000 0.5000 0.5000  2 Rh 2.16
F 0.5000 0.0000 0.5000  2 Rh 2.16

Calculated values
- energy relative to the lowest polymorph listed for this composition (meV per atom) = 0
- E_tot (eV per atom) = -6.1275
- space group = P4/mmm, No. 123
- energy relative to the elements, uncorrected (eV per atom) = -1.258

***

Record 4
## LuAlGe2 (PBE-GGA)

Data for a geometry-optimized LuAlGe2 structure.

Lattice parameters (Å, degrees): 3.5837 3.5837 6.0655 90.00 90.00 90.00
Last column: nearest neighbours and their distance in Å.
Sites, in units of the cell vectors:
Lu 0.0000 0.0000 0.0000  2 Al 3.03, 8 Ge 3.06
Al 0.0000 0.0000 0.5000  8 Ge 2.85, 2 Lu 3.03
Ge 0.5000 0.5000 0.2836  1 Ge 2.62, 4 Al 2.85
Ge 0.5000 0.5000 0.7164  1 Ge 2.62, 4 Al 2.85

Calculated values
- energy relative to the lowest polymorph listed for this composition (meV per atom) = 95
- ΔH_f (0 K) (kJ/mol of formula units) = -108.3
- E_tot (eV per atom) = -4.6552
- space group = P4/mmm, No. 123

***

Record 5
## ThTiP2 (PBE-GGA)

Data for a geometry-optimized ThTiP2 structure.

Lattice parameters (Å, degrees): 7.9372 7.9372 7.9372 31.41 31.41 31.41
Last column: nearest neighbours and their distance in Å.
Sites, in units of the cell vectors:
Th 0.0000 0.0000 0.0000  6 P 2.86
Ti 0.5000 0.5000 0.5000  2 P 2.35
P 0.3961 0.3961 0.3961  1 Ti 2.35
P 0.6039 0.6039 0.6039  1 Ti 2.35

Calculated values
- ΔH_f (0 K) (kJ/mol of formula units) = -112.4
- E_tot (eV per atom) = -6.8248
- space group = R-3m, No. 166

***

Record 6
## DySbRu (PBE-GGA)

Data for a geometry-optimized DySbRu structure.

Lattice parameters (Å, degrees): 4.7676 5.0508 5.6668 90.00 114.58 90.00
Last column: nearest neighbours and their distance in Å.
Sites, in units of the cell vectors:
Dy 0.0856 0.2500 0.1576  5 Sb 2.99-3.33, 2 Dy 3.00, 3 Ru 3.07-3.17
Dy 0.9144 0.7500 0.8424  5 Sb 2.99-3.33, 2 Dy 3.00, 3 Ru 3.07-3.17
Sb 0.2414 0.7500 0.4894  4 Ru 2.74-2.92, 4 Dy 2.99-3.05
Sb 0.7586 0.2500 0.5106  4 Ru 2.74-2.92, 4 Dy 2.99-3.05
Ru 0.3872 0.2500 0.7722  4 Sb 2.74-2.92
Ru 0.6128 0.7500 0.2278  4 Sb 2.74-2.92

Calculated values
- E_tot (eV per atom) = -6.2287
- space group = P2_1/m, No. 11
- energy relative to the elements, uncorrected (eV per atom) = -0.229

***

Record 7
## Sr3MgGe2 (PBE-GGA)

Data for a geometry-optimized Sr3MgGe2 structure.

Lattice parameters (Å, degrees): 9.0079 9.0079 9.0079 130.69 68.75 135.28
Last column: nearest neighbours and their distance in Å.
Sites, in units of the cell vectors:
Sr 0.1839 0.6768 0.8607  2 Ge 3.16-3.18, 2 Mg 3.49
Sr 0.2500 0.2500 0.0000  4 Ge 3.17, 2 Sr 3.43
Sr 0.3161 0.1768 0.4929  2 Ge 3.16-3.18, 2 Mg 3.49
Sr 0.6839 0.8232 0.5071  2 Ge 3.16-3.18, 2 Mg 3.49
Sr 0.7500 0.7500 0.0000  4 Ge 3.17, 2 Sr 3.43
Sr 0.8161 0.3232 0.1393  2 Ge 3.16-3.18, 2 Mg 3.49
Mg 0.2500 0.7500 0.5000  4 Ge 2.89
Mg 0.7500 0.2500 0.5000  4 Ge 2.89
Ge 0.1100 0.2794 0.3895  2 Mg 2.89, 4 Sr 3.16-3.18
Ge 0.3900 0.7794 0.1694  2 Mg 2.89, 4 Sr 3.16-3.18
Ge 0.6100 0.2206 0.8306  2 Mg 2.89, 4 Sr 3.16-3.18
Ge 0.8900 0.7206 0.6105  2 Mg 2.89, 4 Sr 3.16-3.18

Calculated values
- ΔH_f (0 K) (kJ/mol of formula units) = -279.4
- E_tot (eV per atom) = -3.1285
- space group = Ibam, No. 72

***

Record 8
## InGe3Se (PBE-GGA)

Data for a geometry-optimized InGe3Se structure.

Lattice parameters (Å, degrees): 5.1834 5.1834 5.1834 90.00 90.00 90.00
Last column: nearest neighbours and their distance in Å.
Sites, in units of the cell vectors:
In 0.0000 0.0000 0.0000  12 Ge 3.67
Ge 0.0000 0.5000 0.5000  2 Se 2.59
Ge 0.5000 0.0000 0.5000  2 Se 2.59
Ge 0.5000 0.5000 0.0000  2 Se 2.59
Se 0.5000 0.5000 0.5000  6 Ge 2.59

Calculated values
- energy relative to the lowest polymorph listed for this composition (meV per atom) = 0
- E_tot (eV per atom) = -3.4327
- space group = Pm-3m, No. 221
- energy relative to the elements, uncorrected (eV per atom) = 0.582

***

Record 9
## Rb5SnO4 (PBE-GGA)

Data for a geometry-optimized Rb5SnO4 structure.

Lattice parameters (Å, degrees): 8.3131 9.8494 6.6643 90.00 90.00 90.00
Last column: nearest neighbours and their distance in Å.
Sites, in units of the cell vectors:
Rb 0.0076 0.0669 0.2466  3 O 2.87-2.97
Rb 0.0076 0.4331 0.2466  3 O 2.87-2.97
Rb 0.2500 0.7500 0.2765  2 O 2.73
Rb 0.4924 0.0669 0.2466  3 O 2.87-2.97
Rb 0.4924 0.4331 0.2466  3 O 2.87-2.97
Rb 0.5076 0.5669 0.7534  3 O 2.87-2.97
Rb 0.5076 0.9331 0.7534  3 O 2.87-2.97
Rb 0.7500 0.2500 0.7235  2 O 2.73
Rb 0.9924 0.5669 0.7534  3 O 2.87-2.97
Rb 0.9924 0.9331 0.7534  3 O 2.87-2.97
Sn 0.2500 0.2500 0.7244  4 O 2.03-2.04
Sn 0.7500 0.7500 0.2756  4 O 2.03-2.04
O 0.0482 0.2500 0.8953  1 Sn 2.03
O 0.2500 0.0793 0.5520  1 Sn 2.04
O 0.2500 0.4207 0.5520  1 Sn 2.04
O 0.4518 0.2500 0.8953  1 Sn 2.03
O 0.5482 0.7500 0.1047  1 Sn 2.03
O 0.7500 0.5793 0.4480  1 Sn 2.04
O 0.7500 0.9207 0.4480  1 Sn 2.04
O 0.9518 0.7500 0.1047  1 Sn 2.03

Calculated values
- E_tot (eV per atom) = -4.0930
- space group = Pmmn, No. 59
- energy relative to the elements, uncorrected (eV per atom) = -1.226

***

Record 10
## Pa3TiTe6 (PBE-GGA)

Data for a geometry-optimized Pa3TiTe6 structure.

Lattice parameters (Å, degrees): 9.4434 9.4434 7.2105 90.00 90.00 99.78
Last column: nearest neighbours and their distance in Å.
Sites, in units of the cell vectors:
Pa 0.1004 0.8996 0.5000  7 Te 3.10-3.28, 1 Ti 3.42
Pa 0.2359 0.4322 0.6119  7 Te 3.12-3.17
Pa 0.4322 0.2359 0.1119  7 Te 3.12-3.17
Pa 0.5678 0.7641 0.6119  7 Te 3.12-3.17
Pa 0.7641 0.5678 0.1119  7 Te 3.12-3.17
Pa 0.8996 0.1004 0.0000  7 Te 3.10-3.28, 1 Ti 3.42
Ti 0.2817 0.7183 0.1948  4 Te 2.74-2.80
Ti 0.7183 0.2817 0.6948  4 Te 2.74-2.80
Te 0.0357 0.5836 0.3649  1 Ti 2.74
Te 0.1268 0.2061 0.3049  4 Pa 3.12-3.19
Te 0.2061 0.1268 0.8049  4 Pa 3.12-3.19
Te 0.2676 0.7324 0.8081  1 Ti 2.80
Te 0.4164 0.9643 0.3649  1 Ti 2.74
Te 0.4638 0.5362 0.3062  1 Ti 2.75
Te 0.5362 0.4638 0.8062  1 Ti 2.75
Te 0.5836 0.0357 0.8649  1 Ti 2.74
Te 0.7324 0.2676 0.3081  1 Ti 2.80
Te 0.7939 0.8732 0.3049  4 Pa 3.12-3.19
Te 0.8732 0.7939 0.8049  4 Pa 3.12-3.19
Te 0.9643 0.4164 0.8649  1 Ti 2.74

Calculated values
- E_tot (eV per atom) = -6.1736
- space group = Cmc2_1, No. 36
- energy relative to the elements, uncorrected (eV per atom) = -0.650

***

Record 11
## HfScHg2F (PBE-GGA)

Data for a geometry-optimized HfScHg2F structure.

Lattice parameters (Å, degrees): 5.2186 5.2186 3.9024 90.00 90.00 90.00
Last column: nearest neighbours and their distance in Å.
Sites, in units of the cell vectors:
Hf 0.0000 0.0000 0.0000  8 Hg 3.26
Sc 0.5000 0.5000 0.0000  2 F 1.95
Hg 0.0000 0.5000 0.5000  2 F 2.61
Hg 0.5000 0.0000 0.5000  2 F 2.61
F 0.5000 0.5000 0.5000  2 Sc 1.95

Calculated values
- energy relative to the lowest polymorph listed for this composition (meV per atom) = 0
- E_tot (eV per atom) = -4.3704
- space group = P4/mmm, No. 123
- energy relative to the elements, uncorrected (eV per atom) = -0.618

***

Record 12
## HgPd3Au12 (PBE-GGA)

Data for a geometry-optimized HgPd3Au12 structure.

Lattice parameters (Å, degrees): 4.2074 4.2074 16.0023 90.00 90.00 90.00
Last column: nearest neighbours and their distance in Å.
Sites, in units of the cell vectors:
Hg 0.0000 0.0000 0.0000  12 Au 2.98
Pd 0.0000 0.0000 0.2542  12 Au 2.88-2.98
Pd 0.0000 0.0000 0.5000  12 Au 2.88-2.98
Pd 0.0000 0.0000 0.7458  12 Au 2.88-2.98
Au 0.0000 0.5000 0.1315  2 Pd 2.88, 8 Au 2.88-2.98, 2 Hg 2.98
Au 0.0000 0.5000 0.3773  8 Au 2.88-2.98, 4 Pd 2.88
Au 0.0000 0.5000 0.6227  8 Au 2.88-2.98, 4 Pd 2.88
Au 0.0000 0.5000 0.8685  2 Pd 2.88, 8 Au 2.88-2.98, 2 Hg 2.98
Au 0.5000 0.0000 0.1315  2 Pd 2.88, 8 Au 2.88-2.98, 2 Hg 2.98
Au 0.5000 0.0000 0.3773  8 Au 2.88-2.98, 4 Pd 2.88
Au 0.5000 0.0000 0.6227  8 Au 2.88-2.98, 4 Pd 2.88
Au 0.5000 0.0000 0.8685  2 Pd 2.88, 8 Au 2.88-2.98, 2 Hg 2.98
Au 0.5000 0.5000 0.0000  4 Hg 2.98, 8 Au 2.98
Au 0.5000 0.5000 0.2547  8 Au 2.88, 4 Pd 2.98
Au 0.5000 0.5000 0.5000  8 Au 2.88, 4 Pd 2.98
Au 0.5000 0.5000 0.7453  8 Au 2.88, 4 Pd 2.98

Calculated values
- ΔH_f (0 K) (kJ/mol of formula units) = -54.2
- E_tot (eV per atom) = -3.4856
- space group = P4/mmm, No. 123